MoH3Pt: optimized geometry, PBE.

The space group is Pm-3m (No. 221) and the conventional cell measures 3.484, 3.484 and 3.484 Å, with angles of 90.00, 90.00 and 90.00 degrees. The inequivalent atoms are Mo at (0.000, 0.000, 0.000), H at (0.000, 0.000, 0.500) and Pt at (0.500, 0.500, 0.500).

As for the energy above the lowest structure with this stoichiometry: 0.043 eV per atom.

---

Pa3Ni4Ge: optimized geometry, PBE.

The space group is Immm (No. 71) and the conventional cell measures 3.567, 5.962 and 13.986 Å, with angles of 90.00, 90.00 and 90.00 degrees. The inequivalent atoms are Pa at (0.000, 0.000, 0.000), Pa at (0.000, 0.500, 0.190), Ni at (0.000, 0.299, 0.371) and Ge at (0.000, 0.000, 0.500).

The value obtained for the formation enthalpy at 0 K is -0.29 eV/atom.

---

Cs2Li2Pb: optimized geometry, PBE.

The space group is P4/mbm (No. 127) and the conventional cell measures 8.030, 8.030 and 6.582 Å, with angles of 90.00, 90.00 and 90.00 degrees. The inequivalent atoms are Cs at (0.178, 0.322, 0.000), Li at (0.209, 0.709, 0.500) and Pb at (0.000, 0.000, 0.500).

The value obtained for the formation enthalpy at 0 K is -0.01 eV/atom.

---

Dy3Ni7Rh2: optimized geometry, PBE.

The space group is R-3m (No. 166, hexagonal axes) and the conventional cell measures 5.0205, 5.0205 and 24.9443 Å, with angles of 90.00, 90.00 and 120.00 degrees. The inequivalent atoms are Dy at (0.0000, 0.0000, 0.0000), Dy at (0.0000, 0.0000, 0.1391), Ni at (0.0000, 0.0000, 0.5000), Ni at (0.0008, 0.5004, 0.9150) and Rh at (0.0000, 0.0000, 0.3325).

The value obtained for the formation enthalpy at 0 K is -0.43 eV/atom.

---

Mg2CrRu2: optimized geometry, PBE.

The space group is I4/mmm (No. 139) and the conventional cell measures 3.527, 3.527 and 14.956 Å, with angles of 90.00, 90.00 and 90.00 degrees. The inequivalent atoms are Mg at (0.000, 0.000, 0.104), Cr at (0.000, 0.000, 0.500) and Ru at (0.000, 0.500, 0.250).

The value obtained for the formation enthalpy at 0 K is 0.64 eV/atom. As for the energy above the lowest structure with this stoichiometry: 0.455 eV per atom.

---

BaPr2Cu6: optimized geometry, PBE.

The space group is P6/mmm (No. 191) and the conventional cell measures 7.5414, 7.5414 and 3.9547 Å, with angles of 90.00, 90.00 and 120.00 degrees. The inequivalent atoms are Ba at (0.0000, 0.0000, 0.0000), Pr at (0.3333, 0.6667, 0.0000) and Cu at (0.0000, 0.3397, 0.5000).

The value obtained for the formation enthalpy at 0 K is -0.11 eV/atom.

---

LaNi2Br: optimized geometry, PBE.

The space group is P4/mmm (No. 123) and the conventional cell measures 3.866, 3.866 and 6.056 Å, with angles of 90.00, 90.00 and 90.00 degrees. The inequivalent atoms are La at (0.000, 0.000, 0.000), Ni at (0.500, 0.500, 0.188) and Br at (0.000, 0.000, 0.500).

As for the energy above the lowest structure with this stoichiometry: 0.325 eV per atom. The uncorrected formation energy is -0.15 eV/atom.

---

MgRePb2: optimized geometry, PBE.

The space group is P2/m (No. 10) and the conventional cell measures 3.098, 4.969 and 5.862 Å, with angles of 90.00, 94.45 and 90.00 degrees. The inequivalent atoms are Mg at (0.000, 0.000, 0.000), Re at (0.500, 0.000, 0.500) and Pb at (0.308, 0.500, 0.743).

The value obtained for the formation enthalpy at 0 K is 0.79 eV/atom.

---

ZrSiHg: optimized geometry, PBE.

The space group is F-43m (No. 216) and the conventional cell measures 6.561, 6.561 and 6.561 Å, with angles of 90.00, 90.00 and 90.00 degrees. The inequivalent atoms are Zr at (0.000, 0.000, 0.000), Si at (0.250, 0.250, 0.250) and Hg at (0.250, 0.250, 0.750).

As for the energy above the lowest structure with this stoichiometry: 0.266 eV per atom. The uncorrected formation energy is 0.15 eV/atom.

---

TiZn2Ag: optimized geometry, PBE.

The space group is Cm (No. 8) and the conventional cell measures 4.985, 2.864 and 9.277 Å, with angles of 90.00, 100.32 and 90.00 degrees. The inequivalent atoms are Ti at (0.000, 0.000, 0.000), Zn at (0.086, 0.500, 0.750), Zn at (0.252, 0.500, 0.249) and Ag at (0.170, 0.000, 0.501).

The value obtained for the formation enthalpy at 0 K is -0.02 eV/atom.

---

CdH2SeI2: optimized geometry, PBE.

The space group is Cmc2_1 (No. 36) and the conventional cell measures 12.276, 8.324 and 6.995 Å, with angles of 90.00, 90.00 and 90.00 degrees. The inequivalent atoms are Cd at (0.000, 0.085, 0.000), H at (0.086, 0.299, 0.359), Se at (0.000, 0.362, 0.226) and I at (0.161, 0.131, 0.692).

---

PbWS2: optimized geometry, PBE.

The space group is R-3m (No. 166, hexagonal axes) and the conventional cell measures 3.4364, 3.4364 and 26.4510 Å, with angles of 90.00, 90.00 and 120.00 degrees. The inequivalent atoms are Pb at (0.0000, 0.0000, 0.0000), W at (0.0000, 0.0000, 0.5000) and S at (0.0000, 0.0000, 0.4157).

The uncorrected formation energy is 0.51 eV/atom.

---

SmTe2P2Pd7: optimized geometry, PBE.

The space group is C2/m (No. 12) and the conventional cell measures 5.982, 6.840 and 11.446 Å, with angles of 90.00, 93.74 and 90.00 degrees. The inequivalent atoms are Sm at (0.000, 0.000, 0.000), Te at (0.170, 0.000, 0.387), P at (0.187, 0.500, 0.183), Pd at (0.000, 0.500, 0.000), Pd at (0.133, 0.297, 0.783) and Pd at (0.152, 0.500, 0.392).

The uncorrected formation energy is -0.49 eV/atom.

---

ZrP2Ru: optimized geometry, PBE.

The space group is R-3m (No. 166, hexagonal axes) and the conventional cell measures 3.0372, 3.0372 and 23.5475 Å, with angles of 90.00, 90.00 and 120.00 degrees. The inequivalent atoms are Zr at (0.0000, 0.0000, 0.0000), P at (0.0000, 0.0000, 0.2400) and Ru at (0.0000, 0.0000, 0.5000).

The value obtained for the formation enthalpy at 0 K is -0.27 eV/atom. As for the energy above the lowest structure with this stoichiometry: 0.550 eV per atom.

---

no.,mass density (g cm⁻³),E_tot (eV/cell)
1,11.6,-24.8
2,11.2,-117.1
3,3.8,-18.6
4,10.1,-222.4
5,5.4,-56.3
6,6.8,-37.0
7,6.2,-18.8
8,11.5,-18.3
9,7.5,-55.3
10,7.3,-26.7
11,4.2,-63.4
12,8.4,-68.6
13,8.6,-128.2
14,6.7,-89.2